DFT (GGA+U) results for crystalline KMn2Tl3F9 at its relaxed geometry.

The structure in POSCAR format:
```
KMn2Tl3F9
1.0
6.1473 0.0000 0.0000
-3.0737 5.3238 0.0000
0.0000 0.0000 7.9879
K Mn Tl F
1 2 3 9
Direct
0.0000 0.0000 0.0000 K
0.3333 0.6667 0.6475 Mn
0.6667 0.3333 0.3525 Mn
0.0000 0.0000 0.5000 Tl
0.3333 0.6667 0.1780 Tl
0.6667 0.3333 0.8220 Tl
0.0000 0.5000 0.5000 F
0.1785 0.3570 0.7887 F
0.1785 0.8215 0.7887 F
0.3570 0.1785 0.2113 F
0.5000 0.0000 0.5000 F
0.5000 0.5000 0.5000 F
0.6430 0.8215 0.7887 F
0.8215 0.1785 0.2113 F
0.8215 0.6430 0.2113 F
```

E_tot = -4.95 eV per atom
Size of the total moment = 9.0 μB/f.u.